DFT (PBE-GGA) results for a geometry-optimized TiBeAu2 structure.

Formation energy from the elements (eV/f.u.): 0.6
Crystal system: orthorhombic
Energy (eV for the cell shown): -35.17
Spin magnetization (μB per formula unit): 0.0
Volume (A^3/atom): 16.513

a b c (Å): 3.001 3.741 11.767
angles (deg): 90.00 90.00 90.00
Space group Immm (No. 71)
Unique sites:
Ti  0.000  0.000  0.000 [2 per cell]
Be  0.000  0.000  0.500 [2 per cell]
Au  0.000  0.000  0.318 [4 per cell]

DFT (PBE-GGA) results for a geometry-optimized TiBe3Au structure.

Energy relative to the lowest polymorph listed for this composition (meV/atom): 1072
Formation energy from the elements (eV/f.u.): 8.0
Crystal system: cubic
Energy (eV for the cell shown): -14.38
Spin magnetization (μB per formula unit): 1.1
Volume (A^3/atom): 16.419

a b c (Å): 4.346 4.346 4.346
angles (deg): 90.00 90.00 90.00
Space group Pm-3m (No. 221)
Unique sites:
Ti  0.000  0.000  0.000 [1 per cell]
Be  0.000  0.000  0.500 [3 per cell]
Au  0.500  0.500  0.500 [1 per cell]

DFT (PBE-GGA) results for a geometry-optimized TiBe4Au structure.

Formation energy from the elements (eV/f.u.): -0.7
Crystal system: cubic
Energy (eV for the cell shown): -106.97
Spin magnetization (μB per formula unit): 1.4
Volume (A^3/atom): 11.004

a b c (Å): 6.416 6.416 6.416
angles (deg): 90.00 90.00 90.00
Space group F-43m (No. 216)
Unique sites:
Ti  0.000  0.000  0.000 [4 per cell]
Be  0.129  0.129  0.629 [16 per cell]
Au  0.250  0.250  0.250 [4 per cell]

DFT (PBE-GGA) results for a geometry-optimized Ti2BeAu2 structure.

Formation energy from the elements (eV/f.u.): -0.6
Crystal system: tetragonal
Energy (eV for the cell shown): -53.24
Spin magnetization (μB per formula unit): 0.0
Volume (A^3/atom): 16.620

a b c (Å): 6.191 6.191 4.336
angles (deg): 90.00 90.00 90.00
Space group P4/mbm (No. 127)
Unique sites:
Ti  0.164  0.336  0.000 [4 per cell]
Be  0.000  0.000  0.500 [2 per cell]
Au  0.156  0.656  0.500 [4 per cell]